(1)
AcTeI: relaxed, GGA-PBE.

The value obtained for the formation energy without anion corrections is -1.501 eV per atom. The value obtained for the total magnetization is 0.00 μB per formula unit. The crystal system is orthorhombic. The offset from the most stable computed form comes out at 4.9 kJ/mol of atoms.

The structure belongs to space group Fddd (No. 70, origin choice 2); the cell edges are 10.928, 12.864 and 15.732 Å and the angles 90.00°, 90.00° and 90.00°. Symmetry generates all atoms from Ac at (0.125, 0.322, 0.125), Te at (0.125, 0.125, 0.260) and I at (0.000, 0.000, 0.500).

(2)
AcTeI: relaxed, GGA-PBE.

The value obtained for the formation energy without anion corrections is -1.494 eV per atom. The value obtained for the total magnetization is 0.00 μB per formula unit. The crystal system is cubic. The offset from the most stable computed form comes out at 5.5 kJ/mol of atoms.

The structure belongs to space group F-43m (No. 216); the cell edges are 7.958, 7.958 and 7.958 Å and the angles 90.00°, 90.00° and 90.00°. Symmetry generates all atoms from Ac at (0.000, 0.000, 0.000), Te at (0.250, 0.250, 0.250) and I at (0.250, 0.250, 0.750).

(3)
Ac3Te3I2: relaxed, GGA-PBE.

The value obtained for the formation energy without anion corrections is -1.346 eV per atom. The value obtained for the total magnetization is 0.00 μB per formula unit. The crystal system is orthorhombic.

The structure belongs to space group Immm (No. 71); the cell edges are 4.330, 5.478 and 23.952 Å and the angles 90.00°, 90.00° and 90.00°. Symmetry generates all atoms from Ac at (0.000, 0.000, 0.000), Ac at (0.000, 0.500, 0.149), Te at (0.000, 0.000, 0.500), Te at (0.000, 0.500, 0.387) and I at (0.000, 0.000, 0.241).

(4)
AcTeI3: relaxed, GGA-PBE.

The value obtained for the formation energy without anion corrections is -1.186 eV per atom. The value obtained for the total magnetization is 0.00 μB per formula unit. The crystal system is monoclinic.

The structure belongs to space group P2_1/m (No. 11); the cell edges are 9.236, 4.662 and 11.583 Å and the angles 90.00°, 93.09° and 90.00°. Symmetry generates all atoms from Ac at (0.240, 0.250, 0.399), Te at (0.425, 0.250, 0.020), I at (0.115, 0.750, 0.213), I at (0.144, 0.750, 0.592) and I at (0.497, 0.250, 0.639).

(5)
AcTeI: relaxed, GGA-PBE.

The value obtained for the formation energy without anion corrections is -1.483 eV per atom. The value obtained for the total magnetization is 0.00 μB per formula unit. The crystal system is trigonal. The offset from the most stable computed form comes out at 6.6 kJ/mol of atoms.

The structure belongs to space group P3m1 (No. 156); the cell edges are 4.8931, 4.8931 and 7.2878 Å and the angles 90.00°, 90.00° and 120.00°. Symmetry generates all atoms from Ac at (0.0000, 0.0000, 0.0000), Te at (0.3333, 0.6667, 0.7845) and I at (0.6667, 0.3333, 0.2742).

(6)
Ac2TeI3: relaxed, GGA-PBE.

The value obtained for the formation energy without anion corrections is -1.429 eV per atom. The value obtained for the total magnetization is 0.00 μB per formula unit. The crystal system is monoclinic. The offset from the most stable computed form comes out at 0.0 kJ/mol of atoms.

The structure belongs to space group P2_1/m (No. 11); the cell edges are 11.994, 4.608 and 13.025 Å and the angles 90.00°, 115.58° and 90.00°. Symmetry generates all atoms from Ac at (0.027, 0.250, 0.334), Ac at (0.204, 0.250, 0.116), Te at (0.022, 0.750, 0.151), I at (0.160, 0.250, 0.623), I at (0.324, 0.250, 0.394) and I at (0.351, 0.750, 0.040).

(7)
Ac5Te4I: relaxed, GGA-PBE.

The value obtained for the formation energy without anion corrections is -1.351 eV per atom. The value obtained for the total magnetization is 0.00 μB per formula unit. The crystal system is triclinic.

The structure belongs to space group P1 (No. 1); the cell edges are 6.690, 8.011 and 8.158 Å and the angles 80.46°, 68.86° and 66.64°. Symmetry generates all atoms from Ac at (0.000, 0.000, 0.000), Ac at (0.186, 0.411, 0.212), Ac at (0.376, 0.822, 0.425), Ac at (0.586, 0.199, 0.624), Ac at (0.790, 0.623, 0.802), Te at (0.080, 0.220, 0.614), Te at (0.296, 0.602, 0.811), Te at (0.486, 0.008, 0.021), Te at (0.890, 0.813, 0.404) and I at (0.686, 0.411, 0.213).

(8)
AcTeI2: relaxed, GGA-PBE.

The value obtained for the formation energy without anion corrections is -0.823 eV per atom. The value obtained for the total magnetization is 0.81 μB per formula unit. The crystal system is cubic. The offset from the most stable computed form comes out at 30.5 kJ/mol of atoms.

The structure belongs to space group Fm-3m (No. 225); the cell edges are 8.251, 8.251 and 8.251 Å and the angles 90.00°, 90.00° and 90.00°. Symmetry generates all atoms from Ac at (0.000, 0.000, 0.000), Te at (0.000, 0.000, 0.500) and I at (0.250, 0.250, 0.250).

(9)
Ac3Te2I2: relaxed, GGA-PBE.

The value obtained for the formation energy without anion corrections is -1.254 eV per atom. The value obtained for the total magnetization is 0.00 μB per formula unit. The crystal system is monoclinic.

The structure belongs to space group C2/m (No. 12); the cell edges are 15.770, 4.692 and 7.868 Å and the angles 90.00°, 101.61° and 90.00°. Symmetry generates all atoms from Ac at (0.000, 0.000, 0.000), Ac at (0.240, 0.500, 0.237), Te at (0.126, 0.000, 0.382) and I at (0.109, 0.500, 0.823).

(10)
AcTe4I: relaxed, GGA-PBE.

The value obtained for the formation energy without anion corrections is -0.445 eV per atom. The value obtained for the total magnetization is 0.00 μB per formula unit. The crystal system is cubic.

The structure belongs to space group F-43m (No. 216); the cell edges are 9.173, 9.173 and 9.173 Å and the angles 90.00°, 90.00° and 90.00°. Symmetry generates all atoms from Ac at (0.000, 0.000, 0.000), Te at (0.126, 0.126, 0.374) and I at (0.250, 0.250, 0.750).

(11)
AcTe2I: relaxed, GGA-PBE.

The value obtained for the formation energy without anion corrections is -1.046 eV per atom. The value obtained for the total magnetization is 0.00 μB per formula unit. The crystal system is tetragonal. The offset from the most stable computed form comes out at 0.0 kJ/mol of atoms.

The structure belongs to space group P4/mmm (No. 123); the cell edges are 4.525, 4.525 and 7.195 Å and the angles 90.00°, 90.00° and 90.00°. Symmetry generates all atoms from Ac at (0.000, 0.000, 0.000), Te at (0.500, 0.500, 0.197) and I at (0.000, 0.000, 0.500).

(12)
AcTeI: relaxed, GGA-PBE.

The value obtained for the formation energy without anion corrections is -1.354 eV per atom. The value obtained for the total magnetization is 0.00 μB per formula unit. The crystal system is tetragonal. The offset from the most stable computed form comes out at 19.1 kJ/mol of atoms.

The structure belongs to space group I4mm (No. 107); the cell edges are 4.339, 4.339 and 11.339 Å and the angles 90.00°, 90.00° and 90.00°. Symmetry generates all atoms from Ac at (0.000, 0.000, 0.000), Te at (0.000, 0.000, 0.636) and I at (0.000, 0.000, 0.325).

(13)
AcTeI2: relaxed, GGA-PBE.

The value obtained for the formation energy without anion corrections is -1.140 eV per atom. The value obtained for the total magnetization is 1.01 μB per formula unit. The crystal system is orthorhombic. The offset from the most stable computed form comes out at 0.0 kJ/mol of atoms.

The structure belongs to space group Cmcm (No. 63); the cell edges are 4.648, 14.979 and 10.096 Å and the angles 90.00°, 90.00° and 90.00°. Symmetry generates all atoms from Ac at (0.000, 0.249, 0.250), Te at (0.000, 0.408, 0.750) and I at (0.000, 0.142, 0.555).

(14)
AcThTeI: relaxed, GGA-PBE.

The value obtained for the formation energy without anion corrections is -0.884 eV per atom. The value obtained for the total magnetization is 0.00 μB per formula unit. The crystal system is cubic.

The structure belongs to space group F-43m (No. 216); the cell edges are 7.942, 7.942 and 7.942 Å and the angles 90.00°, 90.00° and 90.00°. Symmetry generates all atoms from Ac at (0.000, 0.000, 0.000), Th at (0.000, 0.000, 0.500), Te at (0.250, 0.250, 0.750) and I at (0.250, 0.250, 0.250).

(15)
AcTlTeI: relaxed, GGA-PBE.

The value obtained for the formation energy without anion corrections is -0.890 eV per atom. The value obtained for the total magnetization is 0.35 μB per formula unit. The crystal system is cubic.

The structure belongs to space group F-43m (No. 216); the cell edges are 8.226, 8.226 and 8.226 Å and the angles 90.00°, 90.00° and 90.00°. Symmetry generates all atoms from Ac at (0.000, 0.000, 0.000), Tl at (0.000, 0.000, 0.500), Te at (0.250, 0.250, 0.750) and I at (0.250, 0.250, 0.250).

(16)
AcYTeI: relaxed, GGA-PBE.

The value obtained for the formation energy without anion corrections is -0.997 eV per atom. The value obtained for the total magnetization is 0.00 μB per formula unit. The crystal system is cubic.

The structure belongs to space group F-43m (No. 216); the cell edges are 7.905, 7.905 and 7.905 Å and the angles 90.00°, 90.00° and 90.00°. Symmetry generates all atoms from Ac at (0.000, 0.000, 0.000), Y at (0.000, 0.000, 0.500), Te at (0.250, 0.250, 0.250) and I at (0.250, 0.250, 0.750).

(17)
Ac2ThI: relaxed, GGA-PBE.

The value obtained for the formation energy without anion corrections is -0.348 eV per atom. The value obtained for the total magnetization is 0.00 μB per formula unit. The crystal system is tetragonal. The offset from the most stable computed form comes out at 0.0 kJ/mol of atoms.

The structure belongs to space group P4/mmm (No. 123); the cell edges are 3.904, 3.904 and 10.301 Å and the angles 90.00°, 90.00° and 90.00°. Symmetry generates all atoms from Ac at (0.000, 0.000, 0.246), Th at (0.500, 0.500, 0.000) and I at (0.500, 0.500, 0.500).

(18)
Ac2ThI: relaxed, GGA-PBE.

The value obtained for the formation energy without anion corrections is -0.066 eV per atom. The value obtained for the total magnetization is 0.00 μB per formula unit. The crystal system is trigonal. The offset from the most stable computed form comes out at 27.2 kJ/mol of atoms.

The structure belongs to space group R-3m (No. 166, hexagonal axes); the cell edges are 3.7812, 3.7812 and 38.3409 Å and the angles 90.00°, 90.00° and 120.00°. Symmetry generates all atoms from Ac at (0.0000, 0.0000, 0.0947), Th at (0.0000, 0.0000, 0.0000) and I at (0.0000, 0.0000, 0.5000).

(19)
Ac3TlI3: relaxed, GGA-PBE.

The value obtained for the formation energy without anion corrections is -1.008 eV per atom. The value obtained for the total magnetization is 0.00 μB per formula unit. The crystal system is cubic.

The structure belongs to space group I4_132 (No. 214); the cell edges are 13.525, 13.525 and 13.525 Å and the angles 90.00°, 90.00° and 90.00°. Symmetry generates all atoms from Ac at (0.115, 0.365, 0.125), Tl at (0.125, 0.125, 0.125) and I at (0.119, 0.131, 0.625).

(20)
Ac2TlI2: relaxed, GGA-PBE.

The value obtained for the formation energy without anion corrections is -0.962 eV per atom. The value obtained for the total magnetization is 0.00 μB per formula unit. The crystal system is trigonal.

The structure belongs to space group R-3m (No. 166, hexagonal axes); the cell edges are 4.6732, 4.6732 and 36.7986 Å and the angles 90.00°, 90.00° and 120.00°. Symmetry generates all atoms from Ac at (0.0000, 0.0000, 0.1112), Tl at (0.0000, 0.0000, 0.5000) and I at (0.0000, 0.0000, 0.2789).

(21)
Ac2TlI3: relaxed, GGA-PBE.

The value obtained for the formation energy without anion corrections is -1.018 eV per atom. The value obtained for the total magnetization is 0.00 μB per formula unit. The crystal system is monoclinic.

The structure belongs to space group C2/m (No. 12); the cell edges are 21.490, 4.906 and 14.336 Å and the angles 90.00°, 128.74° and 90.00°. Symmetry generates all atoms from Ac at (0.117, 0.000, 0.447), Ac at (0.128, 0.500, 0.810), Tl at (0.067, 0.000, 0.624), I at (0.046, 0.500, 0.237), I at (0.171, 0.000, 0.014) and I at (0.248, 0.500, 0.621).

(22)
AcTlI6: relaxed, GGA-PBE.

The value obtained for the formation energy without anion corrections is -0.801 eV per atom. The value obtained for the total magnetization is 0.00 μB per formula unit. The crystal system is triclinic.

The structure belongs to space group P-1 (No. 2); the cell edges are 7.759, 7.762 and 8.452 Å and the angles 89.99°, 62.72° and 60.02°. Symmetry generates all atoms from Ac at (0.000, 0.000, 0.000), Tl at (0.000, 0.500, 0.500), I at (0.173, 0.563, 0.743), I at (0.181, 0.735, 0.257) and I at (0.479, 0.084, 0.257).

(23)
AcTl2I6: relaxed, GGA-PBE.

The value obtained for the formation energy without anion corrections is -0.913 eV per atom. The value obtained for the total magnetization is 0.68 μB per formula unit. The crystal system is orthorhombic.

The structure belongs to space group Amm2 (No. 38); the cell edges are 5.066, 17.006 and 8.779 Å and the angles 90.00°, 90.00° and 90.00°. Symmetry generates all atoms from Ac at (0.000, 0.000, 0.000), Tl at (0.500, 0.182, 0.453), I at (0.000, 0.000, 0.618), I at (0.000, 0.186, 0.175), I at (0.500, 0.000, 0.260) and I at (0.500, 0.117, 0.855).

(24)
Ac3Tl2I: relaxed, GGA-PBE.

The value obtained for the formation energy without anion corrections is -0.530 eV per atom. The value obtained for the total magnetization is 0.00 μB per formula unit. The crystal system is tetragonal.

The structure belongs to space group P4/mmm (No. 123); the cell edges are 3.942, 3.942 and 13.718 Å and the angles 90.00°, 90.00° and 90.00°. Symmetry generates all atoms from Ac at (0.000, 0.000, 0.000), Ac at (0.000, 0.000, 0.322), Tl at (0.500, 0.500, 0.168) and I at (0.500, 0.500, 0.500).

(25)
AcTlI3: relaxed, GGA-PBE.

The value obtained for the formation energy without anion corrections is -0.886 eV per atom. The value obtained for the total magnetization is 0.00 μB per formula unit. The crystal system is cubic.

The structure belongs to space group Pm-3m (No. 221); the cell edges are 6.483, 6.483 and 6.483 Å and the angles 90.00°, 90.00° and 90.00°. Symmetry generates all atoms from Ac at (0.000, 0.000, 0.000), Tl at (0.500, 0.500, 0.500) and I at (0.000, 0.000, 0.500).